(1)
# SCAN LaAl2P, single point on PBEsol structure
data_LaAl2P
_chemical_formula_sum 'La3 Al6 P3'
_space_group_name_H-M_alt 'R 3 m'
_space_group_IT_number 160
_space_group_name_Hall 'R 3 -2"'
_cell_length_a 3.6607
_cell_length_b 3.6607
_cell_length_c 23.4019
_cell_angle_alpha 90.00
_cell_angle_beta 90.00
_cell_angle_gamma 120.00
loop_
_atom_site_label
_atom_site_fract_x
_atom_site_fract_y
_atom_site_fract_z
La1 0.0000 0.0000 0.0000
Al1 0.0000 0.0000 0.2227
Al2 0.0000 0.0000 0.4692
P1 0.0000 0.0000 0.7532
# - Energy of formation from the pure elements: -326 meV/atom
# - M_tot: 0.9 μB per formula unit



(2)
# SCAN BaAl4Se7, single point on PBEsol structure
data_BaAl4Se7
_chemical_formula_sum 'Ba2 Al8 Se14'
_space_group_name_H-M_alt 'P 1 c 1'
_space_group_IT_number 7
_cell_length_a 7.618
_cell_length_b 6.502
_cell_length_c 14.664
_cell_angle_alpha 90.00
_cell_angle_beta 121.12
_cell_angle_gamma 90.00
loop_
_space_group_symop_operation_xyz
'x,y,z'
'x,-y,z+1/2'
loop_
_atom_site_label
_atom_site_fract_x
_atom_site_fract_y
_atom_site_fract_z
Ba1 0.000 0.145 0.000
Al1 0.073 0.346 0.321
Al2 0.329 0.131 0.823
Al3 0.558 0.339 0.305
Al4 0.565 0.486 0.044
Se1 0.237 0.477 0.739
Se2 0.238 0.397 0.506
Se3 0.466 0.013 0.223
Se4 0.564 0.130 0.009
Se5 0.747 0.469 0.741
Se6 0.783 0.353 0.492
Se7 0.998 0.002 0.770
# - E_form (uncorrected): -1.27 eV/atom
# - M_tot: 0.0 μB per formula unit



(3)
# SCAN RbZn4As3, single point on PBEsol structure
data_RbZn4As3
_chemical_formula_sum 'Rb1 Zn4 As3'
_space_group_name_H-M_alt 'P 4/m m m'
_space_group_IT_number 123
_space_group_name_Hall '-P 4 2'
_cell_length_a 4.121
_cell_length_b 4.121
_cell_length_c 10.248
_cell_angle_alpha 90.00
_cell_angle_beta 90.00
_cell_angle_gamma 90.00
loop_
_atom_site_label
_atom_site_fract_x
_atom_site_fract_y
_atom_site_fract_z
Rb1 0.000 0.000 0.000
Zn1 0.000 0.500 0.341
As1 0.000 0.000 0.500
As2 0.500 0.500 0.205
# - Energy of formation from the pure elements: -344 meV/atom
# - M_tot: 0.0 μB per formula unit



(4)
# SCAN TaPt4, single point on PBEsol structure
data_TaPt4
_chemical_formula_sum 'Ta2 Pt8'
_space_group_name_H-M_alt 'I 4/m'
_space_group_IT_number 87
_space_group_name_Hall '-I 4'
_cell_length_a 6.256
_cell_length_b 6.256
_cell_length_c 3.910
_cell_angle_alpha 90.00
_cell_angle_beta 90.00
_cell_angle_gamma 90.00
loop_
_atom_site_label
_atom_site_fract_x
_atom_site_fract_y
_atom_site_fract_z
Ta1 0.000 0.000 0.000
Pt1 0.102 0.297 0.500
# - Energy above the lowest structure with this stoichiometry: 0.0 kJ/mol of atoms
# - Energy of formation from the pure elements: -613 meV/atom
# - M_tot: 0.0 μB per formula unit



(5)
# SCAN Mg3NiI, single point on PBEsol structure
data_Mg3NiI
_chemical_formula_sum 'Mg3 Ni1 I1'
_space_group_name_H-M_alt 'P m -3 m'
_space_group_IT_number 221
_space_group_name_Hall '-P 4 2 3'
_cell_length_a 5.393
_cell_length_b 5.393
_cell_length_c 5.393
_cell_angle_alpha 90.00
_cell_angle_beta 90.00
_cell_angle_gamma 90.00
loop_
_atom_site_label
_atom_site_fract_x
_atom_site_fract_y
_atom_site_fract_z
Mg1 0.000 0.000 0.500
Ni1 0.500 0.500 0.500
I1 0.000 0.000 0.000
# - Energy above the lowest structure with this stoichiometry: 112.5 kJ/mol of atoms
# - E_form (uncorrected): 1.21 eV/atom
# - M_tot: 1.5 μB per formula unit



(6)
# SCAN MnTcTe2I, single point on PBEsol structure
data_MnTcTe2I
_chemical_formula_sum 'Mn1 Tc1 Te2 I1'
_space_group_name_H-M_alt 'P 4/m m m'
_space_group_IT_number 123
_space_group_name_Hall '-P 4 2'
_cell_length_a 5.188
_cell_length_b 5.188
_cell_length_c 5.245
_cell_angle_alpha 90.00
_cell_angle_beta 90.00
_cell_angle_gamma 90.00
loop_
_atom_site_label
_atom_site_fract_x
_atom_site_fract_y
_atom_site_fract_z
Mn1 0.000 0.000 0.000
Tc1 0.500 0.500 0.500
Te1 0.000 0.500 0.000
I1 0.000 0.000 0.500
# - E_form (uncorrected): 0.76 eV/atom
# - M_tot: 9.2 μB per formula unit



(7)
# SCAN MgCd2In, single point on PBEsol structure
data_MgCd2In
_chemical_formula_sum 'Mg3 Cd6 In3'
_space_group_name_H-M_alt 'R -3 m'
_space_group_IT_number 166
_space_group_name_Hall '-R 3 2"'
_cell_length_a 3.2536
_cell_length_b 3.2536
_cell_length_c 29.2162
_cell_angle_alpha 90.00
_cell_angle_beta 90.00
_cell_angle_gamma 120.00
loop_
_atom_site_label
_atom_site_fract_x
_atom_site_fract_y
_atom_site_fract_z
Mg1 0.0000 0.0000 0.0000
Cd1 0.0000 0.0000 0.2530
In1 0.0000 0.0000 0.5000
# - Energy of formation from the pure elements: -32 meV/atom
# - M_tot: 0.0 μB per formula unit



(8)
# SCAN YTlMo2, single point on PBEsol structure
data_YTlMo2
_chemical_formula_sum 'Y3 Tl3 Mo6'
_space_group_name_H-M_alt 'R 3 m'
_space_group_IT_number 160
_space_group_name_Hall 'R 3 -2"'
_cell_length_a 3.2112
_cell_length_b 3.2112
_cell_length_c 27.5867
_cell_angle_alpha 90.00
_cell_angle_beta 90.00
_cell_angle_gamma 120.00
loop_
_atom_site_label
_atom_site_fract_x
_atom_site_fract_y
_atom_site_fract_z
Y1 0.0000 0.0000 0.0000
Tl1 0.0000 0.0000 0.7654
Mo1 0.0000 0.0000 0.2473
Mo2 0.0000 0.0000 0.5194
# - Energy above the lowest structure with this stoichiometry: 0.0 kJ/mol of atoms
# - Energy of formation from the pure elements: 325 meV/atom
# - M_tot: 0.0 μB per formula unit



(9)
# SCAN LaRe3Cl, single point on PBEsol structure
data_LaRe3Cl
_chemical_formula_sum 'La1 Re3 Cl1'
_space_group_name_H-M_alt 'P m -3 m'
_space_group_IT_number 221
_space_group_name_Hall '-P 4 2 3'
_cell_length_a 4.482
_cell_length_b 4.482
_cell_length_c 4.482
_cell_angle_alpha 90.00
_cell_angle_beta 90.00
_cell_angle_gamma 90.00
loop_
_atom_site_label
_atom_site_fract_x
_atom_site_fract_y
_atom_site_fract_z
La1 0.000 0.000 0.000
Re1 0.000 0.500 0.500
Cl1 0.500 0.500 0.500
# - E_form (uncorrected): 1.46 eV/atom
# - M_tot: 0.4 μB per formula unit



(10)
# SCAN LiSnSeBr2, single point on PBEsol structure
data_LiSnSeBr2
_chemical_formula_sum 'Li1 Sn1 Se1 Br2'
_space_group_name_H-M_alt 'P 4/m m m'
_space_group_IT_number 123
_space_group_name_Hall '-P 4 2'
_cell_length_a 5.584
_cell_length_b 5.584
_cell_length_c 5.216
_cell_angle_alpha 90.00
_cell_angle_beta 90.00
_cell_angle_gamma 90.00
loop_
_atom_site_label
_atom_site_fract_x
_atom_site_fract_y
_atom_site_fract_z
Li1 0.000 0.000 0.000
Sn1 0.500 0.500 0.500
Se1 0.500 0.500 0.000
Br1 0.000 0.500 0.500
# - E_form (uncorrected): -0.56 eV/atom
# - M_tot: 0.0 μB per formula unit



(11)
# SCAN TaAlCu, single point on PBEsol structure
data_TaAlCu
_chemical_formula_sum 'Ta4 Al4 Cu4'
_space_group_name_H-M_alt 'F -4 3 m'
_space_group_IT_number 216
_space_group_name_Hall 'F -4 2 3'
_cell_length_a 5.882
_cell_length_b 5.882
_cell_length_c 5.882
_cell_angle_alpha 90.00
_cell_angle_beta 90.00
_cell_angle_gamma 90.00
loop_
_atom_site_label
_atom_site_fract_x
_atom_site_fract_y
_atom_site_fract_z
Ta1 0.000 0.000 0.000
Al1 0.250 0.250 0.250
Cu1 0.000 0.000 0.500
# - Energy of formation from the pure elements: 667 meV/atom
# - M_tot: 0.0 μB per formula unit



(12)
# SCAN YCrAg2, single point on PBEsol structure
data_YCrAg2
_chemical_formula_sum 'Y4 Cr4 Ag8'
_space_group_name_H-M_alt 'F m -3 m'
_space_group_IT_number 225
_space_group_name_Hall '-F 4 2 3'
_cell_length_a 6.781
_cell_length_b 6.781
_cell_length_c 6.781
_cell_angle_alpha 90.00
_cell_angle_beta 90.00
_cell_angle_gamma 90.00
loop_
_atom_site_label
_atom_site_fract_x
_atom_site_fract_y
_atom_site_fract_z
Y1 0.000 0.000 0.000
Cr1 0.000 0.000 0.500
Ag1 0.250 0.250 0.250
# - Energy above the lowest structure with this stoichiometry: 0.0 kJ/mol of atoms
# - Energy of formation from the pure elements: -96 meV/atom
# - M_tot: 4.4 μB per formula unit



(13)
# SCAN PbS2ICl, single point on PBEsol structure
data_PbS2ICl
_chemical_formula_sum 'Pb1 S2 I1 Cl1'
_space_group_name_H-M_alt 'P 4/m m m'
_space_group_IT_number 123
_space_group_name_Hall '-P 4 2'
_cell_length_a 5.171
_cell_length_b 5.171
_cell_length_c 5.180
_cell_angle_alpha 90.00
_cell_angle_beta 90.00
_cell_angle_gamma 90.00
loop_
_atom_site_label
_atom_site_fract_x
_atom_site_fract_y
_atom_site_fract_z
Pb1 0.000 0.000 0.000
S1 0.000 0.500 0.500
I1 0.500 0.500 0.500
Cl1 0.500 0.500 0.000
# - E_form (uncorrected): 0.31 eV/atom
# - M_tot: 0.0 μB per formula unit



One value per record, in order, for DFT total energy: -17.577; -18.858; -17.265; -70.085; -12.354; -32.148; -24.829; -42.168; -51.417; -20.021; -29.178; -27.336; -27.639 eV per atom.